A plane-wave DFT calculation with PBE was carried out for an optimized crystal structure of ZnPbSe2.

Values from the calculation:
For the formation energy from raw total energies, the calculation gives -0.45 eV/atom. The total energy is -3.439 eV per atom. The calculation puts the total moment at 0.00 μB per cell.

Cell lengths 4.0645, 4.0645, 7.1754 Å; angles 73.47, 73.47, 59.93 degrees
Fractional coordinates of all 4 atoms:
Se  0.5146  0.5146  0.4575
Se  0.9854  0.9854  0.0425
Pb  0.7500  0.7500  0.7500
Zn  0.2500  0.2500  0.2500


A plane-wave DFT calculation with PBE was carried out for an optimized crystal structure of Zn2PbSe.

Values from the calculation:
For the formation energy from raw total energies, the calculation gives 0.09 eV/atom. The total energy is -2.341 eV per atom. The calculation puts the offset from the most stable computed form at 92.1 kJ/mol of formula units. The calculation puts the total moment at 0.00 μB per cell.

Cell lengths 5.2389, 4.2554, 4.2554 Å; angles 90.00, 90.00, 90.00 degrees
Fractional coordinates of all 4 atoms:
Zn  0.0000  0.0000  0.0000
Zn  0.0000  0.5000  0.5000
Pb  0.5000  0.5000  0.0000
Se  0.5000  0.0000  0.5000


A plane-wave DFT calculation with PBE was carried out for an optimized crystal structure of Zn2PbSe.

Values from the calculation:
For the formation energy from raw total energies, the calculation gives 0.08 eV/atom. The total energy is -2.356 eV per atom. The calculation puts the offset from the most stable computed form at 86.4 kJ/mol of formula units. The calculation puts the total moment at 0.00 μB per cell.

Cell lengths 6.2905, 6.2905, 6.2905 Å; angles 141.24, 141.24, 55.97 degrees
Fractional coordinates of all 4 atoms:
Se  0.7500  0.2500  0.5000
Zn  0.0000  0.0000  0.0000
Zn  0.5000  0.5000  0.0000
Pb  0.2500  0.7500  0.5000